Density functional theory data (GGA-PBE) for a geometry-optimized MgAlFeW structure.

a b c (Å): 4.3115 4.3115 4.3115
angles (deg): 60.00 60.00 60.00
With the nearest neighbours (Å) after each atom.
Atoms (fractional coordinates):
Mg (0.0000, 0.0000, 0.0000)  4 W 2.64, 4 Al 2.64
Al (0.2500, 0.2500, 0.2500)  4 Fe 2.64, 4 Mg 2.64
Fe (0.5000, 0.5000, 0.5000)  4 W 2.64, 4 Al 2.64
W (0.7500, 0.7500, 0.7500)  4 Fe 2.64, 4 Mg 2.64

Properties
Crystal system: cubic
SG: F-43m (216)
ΔE to the lowest computed polymorph (meV/atom): 0
E (eV/atom): -6.404